! PaTiNi2O6, optimized geometry, DFT PBE with a Hubbard U; values from VASP
&SYSTEM
  ibrav = 0, nat = 10, ntyp = 4
/
ATOMIC_SPECIES
Pa 231.04 Pa.upf
Ti 47.87 Ti.upf
Ni 58.69 Ni.upf
O 16.00 O.upf
ATOMIC_POSITIONS crystal
Pa 0.000 0.000 0.000
Ti 0.500 0.500 0.958
Ni 0.000 0.500 0.133
Ni 0.500 0.000 0.133
O 0.000 0.000 0.509
O 0.262 0.262 0.055
O 0.262 0.738 0.055
O 0.500 0.500 0.560
O 0.738 0.262 0.055
O 0.738 0.738 0.055
CELL_PARAMETERS angstrom
5.902 0.000 0.000
0.000 5.902 0.000
0.000 0.000 4.237
! mass density	5.54	g/cm3
! space group	P4mm, No. 99
! E	-73.8	eV/cell